This record from Alexandria describes a relaxed structure of RbBa2AsO. The functional is PBE.

The calculation puts the calculated density at 4.79 Mg/m³. The calculation puts the uncorrected formation energy at -30.55 kcal/mol of atoms. For the total energy, the calculation gives -4.209 eV per atom.

abc: 5.414 5.414 5.334
angles: 90.00 90.00 90.00
Fractional coordinates of all 5 atoms:
Rb: 0.000 0.000 0.000
Ba: 0.000 0.500 0.500
Ba: 0.500 0.000 0.500
As: 0.500 0.500 0.000
O: 0.000 0.000 0.500

***

This record from Alexandria describes a relaxed structure of Rb3BaAs2O6. The functional is PBE.

The calculation puts the calculated density at 3.89 Mg/m³. The calculation puts the uncorrected formation energy at -39.91 kcal/mol of atoms. For the total energy, the calculation gives -5.387 eV per atom.

abc: 6.429 6.429 7.631
angles: 90.00 90.00 120.00
Fractional coordinates of all 12 atoms:
Rb: 0.000 0.000 0.000
Rb: 0.333 0.667 0.671
Rb: 0.667 0.333 0.329
Ba: 0.000 0.000 0.500
As: 0.333 0.667 0.198
As: 0.667 0.333 0.802
O: 0.188 0.375 0.289
O: 0.188 0.812 0.289
O: 0.375 0.188 0.711
O: 0.625 0.812 0.289
O: 0.812 0.188 0.711
O: 0.812 0.625 0.711

***

This record from Alexandria describes a relaxed structure of RbBaAs2O6. The functional is PBE.

The calculation puts the calculated density at 4.01 Mg/m³. The calculation puts the uncorrected formation energy at -38.75 kcal/mol of atoms. For the total energy, the calculation gives -5.874 eV per atom.

abc: 7.979 7.979 6.259
angles: 99.14 99.14 90.97
Fractional coordinates of all 20 atoms:
Rb: 0.176 0.824 0.750
Rb: 0.824 0.176 0.250
Ba: 0.381 0.619 0.250
Ba: 0.619 0.381 0.750
As: 0.139 0.293 0.766
As: 0.293 0.139 0.266
As: 0.707 0.861 0.734
As: 0.861 0.707 0.234
O: 0.059 0.633 0.295
O: 0.147 0.180 0.017
O: 0.180 0.147 0.517
O: 0.295 0.453 0.833
O: 0.367 0.941 0.205
O: 0.453 0.295 0.333
O: 0.547 0.705 0.667
O: 0.633 0.059 0.795
O: 0.705 0.547 0.167
O: 0.820 0.853 0.483
O: 0.853 0.820 0.983
O: 0.941 0.367 0.705

***

This record from Alexandria describes a relaxed structure of Rb3BaAs2O8. The functional is PBE.

The calculation puts the calculated density at 3.78 Mg/m³. The calculation puts the uncorrected formation energy at -39.59 kcal/mol of atoms. For the total energy, the calculation gives -5.559 eV per atom.

abc: 6.368 6.368 8.395
angles: 90.00 90.00 120.00
Fractional coordinates of all 14 atoms:
Rb: 0.000 0.000 0.000
Rb: 0.333 0.667 0.707
Rb: 0.667 0.333 0.293
Ba: 0.000 0.000 0.500
As: 0.333 0.667 0.234
As: 0.667 0.333 0.766
O: 0.186 0.371 0.302
O: 0.186 0.814 0.302
O: 0.333 0.667 0.029
O: 0.371 0.186 0.698
O: 0.629 0.814 0.302
O: 0.667 0.333 0.971
O: 0.814 0.186 0.698
O: 0.814 0.629 0.698

***

Q: What is the calculated density in the third record?
A: 4.01 Mg/m³

***

Copy entry 3 word for word.
This record from Alexandria describes a relaxed structure of RbBaAs2O6. The functional is PBE.

The calculation puts the calculated density at 4.01 Mg/m³. The calculation puts the uncorrected formation energy at -38.75 kcal/mol of atoms. For the total energy, the calculation gives -5.874 eV per atom.

abc: 7.979 7.979 6.259
angles: 99.14 99.14 90.97
Fractional coordinates of all 20 atoms:
Rb: 0.176 0.824 0.750
Rb: 0.824 0.176 0.250
Ba: 0.381 0.619 0.250
Ba: 0.619 0.381 0.750
As: 0.139 0.293 0.766
As: 0.293 0.139 0.266
As: 0.707 0.861 0.734
As: 0.861 0.707 0.234
O: 0.059 0.633 0.295
O: 0.147 0.180 0.017
O: 0.180 0.147 0.517
O: 0.295 0.453 0.833
O: 0.367 0.941 0.205
O: 0.453 0.295 0.333
O: 0.547 0.705 0.667
O: 0.633 0.059 0.795
O: 0.705 0.547 0.167
O: 0.820 0.853 0.483
O: 0.853 0.820 0.983
O: 0.941 0.367 0.705